[1]
The following is a DFT calculation (PBE-GGA) of RbYInCl2 after structural relaxation.

Output
Raw formation energy in eV per formula unit: -0.25
Space-group type: No. 123
Excess energy over the best structure of this formula in the dataset in eV/f.u.: 0.72

Structure (POSCAR):
```
RbYInCl2
1.0
5.7136 0.0000 0.0000
0.0000 5.7136 0.0000
0.0000 0.0000 6.7108
Rb Y In Cl
1 1 1 2
Direct
0.0000 0.0000 0.0000
0.0000 0.0000 0.5000
0.5000 0.5000 0.5000
0.0000 0.5000 0.0000
0.5000 0.0000 0.0000
```

---

[2]
The following is a DFT calculation (PBE-GGA) of NiGeB after structural relaxation.

Output
DFT formation energy in eV/f.u.: 0.16
Space-group type: No. 8
Excess energy over the best structure of this formula in the dataset in eV/f.u.: 0.08

Structure (POSCAR):
```
NiGeB
1.0
6.9817 0.0000 0.0000
0.0000 3.0809 0.0000
-1.0696 0.0000 7.0498
Ni Ge B
4 4 4
Direct
0.0000 0.0000 0.0000
0.1079 0.0000 0.6952
0.5000 0.5000 0.0000
0.6079 0.5000 0.6952
0.2324 0.5000 0.1730
0.2850 0.5000 0.5300
0.7324 0.0000 0.1730
0.7850 0.0000 0.5300
0.2877 0.0000 0.9587
0.4295 0.0000 0.7812
0.7877 0.5000 0.9587
0.9295 0.5000 0.7812
```

---

[3]
The following is a DFT calculation (PBE-GGA) of LiLuThAl after structural relaxation.

Output
DFT formation energy in eV/f.u.: -0.49
Space-group type: No. 216

Structure (POSCAR):
```
LiLuThAl
1.0
7.2743 0.0000 0.0000
0.0000 7.2743 0.0000
0.0000 0.0000 7.2743
Li Lu Th Al
4 4 4 4
Direct
0.0000 0.0000 0.0000
0.0000 0.5000 0.5000
0.5000 0.0000 0.5000
0.5000 0.5000 0.0000
0.2500 0.2500 0.7500
0.2500 0.7500 0.2500
0.7500 0.2500 0.2500
0.7500 0.7500 0.7500
0.2500 0.2500 0.2500
0.2500 0.7500 0.7500
0.7500 0.2500 0.7500
0.7500 0.7500 0.2500
0.0000 0.0000 0.5000
0.0000 0.5000 0.0000
0.5000 0.0000 0.0000
0.5000 0.5000 0.5000
```

---

[4]
The following is a DFT calculation (PBE-GGA) of CoTc2Os after structural relaxation.

Output
DFT formation energy in eV/f.u.: 5.07
Space-group type: No. 122
Excess energy over the best structure of this formula in the dataset in eV/f.u.: 5.21

Structure (POSCAR):
```
CoTc2Os
1.0
5.2518 0.0000 0.0000
0.0000 5.2518 0.0000
0.0000 0.0000 11.2322
Co Tc Os
4 8 4
Direct
0.0000 0.0000 0.0000
0.0000 0.5000 0.2500
0.5000 0.0000 0.7500
0.5000 0.5000 0.5000
0.2224 0.2500 0.1250
0.2500 0.7224 0.3750
0.2500 0.7776 0.8750
0.2776 0.2500 0.6250
0.7224 0.7500 0.6250
0.7500 0.2224 0.8750
0.7500 0.2776 0.3750
0.7776 0.7500 0.1250
0.0000 0.0000 0.5000
0.0000 0.5000 0.7500
0.5000 0.0000 0.2500
0.5000 0.5000 0.0000
```

---

[5]
The following is a DFT calculation (PBE-GGA) of ZnS2BrN after structural relaxation.

Output
Raw formation energy in eV per formula unit: 7.58
Space-group type: No. 123
Excess energy over the best structure of this formula in the dataset in eV/f.u.: 1.64

Structure (POSCAR):
```
ZnS2BrN
1.0
5.0291 0.0000 0.0000
0.0000 5.0291 0.0000
0.0000 0.0000 3.6876
Zn S Br N
1 2 1 1
Direct
0.0000 0.0000 0.0000
0.0000 0.5000 0.5000
0.5000 0.0000 0.5000
0.5000 0.5000 0.5000
0.5000 0.5000 0.0000
```

---

[6]
The following is a DFT calculation (PBE-GGA) of TiV3 after structural relaxation.

Output
DFT formation energy in eV/f.u.: 0.14
Space-group type: No. 129

Structure (POSCAR):
```
TiV3
1.0
3.0272 0.0000 0.0000
0.0000 3.0272 0.0000
0.0000 0.0000 12.5824
Ti V
2 6
Direct
0.2500 0.2500 0.0776
0.7500 0.7500 0.9224
0.2500 0.2500 0.3218
0.2500 0.2500 0.5595
0.2500 0.2500 0.7902
0.7500 0.7500 0.2098
0.7500 0.7500 0.4405
0.7500 0.7500 0.6782
```

---

Size of the total moment across the listed records, respectively: 1.196, 0.000, 0.004, 0.000, 0.005, 0.000 Bohr magnetons per cell.